1.
# GGA-PBEsol La2ZnRe, relaxed
# Final energy (eV per cell): -48.873
# Energy of formation (meV per atom): 292.5
# Theoretical density (g cm⁻³): 10.21
data_La2ZnRe
_symmetry_space_group_name_H-M 'I -4 m 2'
_symmetry_Int_Tables_number 119
_symmetry_space_group_name_Hall 'I -4 -2'
_cell_length_a 4.455
_cell_length_b 4.455
_cell_length_c 8.676
_cell_angle_alpha 90.00
_cell_angle_beta 90.00
_cell_angle_gamma 90.00
loop_
_atom_site_label
_atom_site_type_symbol
_atom_site_fract_x
_atom_site_fract_y
_atom_site_fract_z
_atom_site_occupancy
La1 La 0.000 0.000 0.000 1
La2 La 0.000 0.500 0.250 1
Zn1 Zn 0.000 0.500 0.750 1
Re1 Re 0.000 0.000 0.500 1



2.
# GGA-PBEsol YSbBr2, relaxed
# Final energy (eV per cell): -70.391
# Energy relative to the elements, uncorrected (meV per atom): -619.5
# Distance to the lowest polymorph of the same formula (eV/atom): 0.272
# Theoretical density (g cm⁻³): 6.31
data_YSbBr2
_symmetry_space_group_name_H-M 'F m -3 m'
_symmetry_Int_Tables_number 225
_symmetry_space_group_name_Hall '-F 4 2 3'
_cell_length_a 7.305
_cell_length_b 7.305
_cell_length_c 7.305
_cell_angle_alpha 90.00
_cell_angle_beta 90.00
_cell_angle_gamma 90.00
loop_
_atom_site_label
_atom_site_type_symbol
_atom_site_fract_x
_atom_site_fract_y
_atom_site_fract_z
_atom_site_occupancy
Y1 Y 0.000 0.000 0.000 1
Sb1 Sb 0.000 0.000 0.500 1
Br1 Br 0.250 0.250 0.250 1



3.
# GGA-PBEsol Co7Ru2O12, relaxed
# Final energy (eV per cell): -313.548
# Energy relative to the elements, uncorrected (meV per atom): -918.0
# Theoretical density (g cm⁻³): 6.67
data_Co7Ru2O12
_symmetry_space_group_name_H-M 'P 1'
_symmetry_Int_Tables_number 1
_cell_length_a 5.729
_cell_length_b 5.828
_cell_length_c 12.554
_cell_angle_alpha 100.93
_cell_angle_beta 102.06
_cell_angle_gamma 91.75
loop_
_symmetry_equiv_pos_as_xyz
'x,y,z'
loop_
_atom_site_label
_atom_site_type_symbol
_atom_site_fract_x
_atom_site_fract_y
_atom_site_fract_z
_atom_site_occupancy
Co1 Co 0.000 0.000 0.000 1
Co2 Co 0.001 0.498 0.000 1
Co3 Co 0.008 0.487 0.500 1
Co4 Co 0.133 0.362 0.248 1
Co5 Co 0.232 0.956 0.426 1
Co6 Co 0.325 0.831 0.165 1
Co7 Co 0.337 0.810 0.661 1
Co8 Co 0.463 0.734 0.927 1
Co9 Co 0.508 0.489 0.500 1
Co10 Co 0.542 0.276 0.078 1
Co11 Co 0.651 0.173 0.829 1
Co12 Co 0.671 0.169 0.336 1
Co13 Co 0.786 0.022 0.574 1
Co14 Co 0.881 0.636 0.753 1
Ru1 Ru 0.180 0.172 0.827 1
Ru2 Ru 0.340 0.320 0.676 1
Ru3 Ru 0.679 0.666 0.326 1
Ru4 Ru 0.829 0.823 0.174 1
O1 O 0.082 0.591 0.159 1
O2 O 0.087 0.050 0.160 1
O3 O 0.104 0.569 0.660 1
O4 O 0.107 0.042 0.661 1
O5 O 0.220 0.253 0.994 1
O6 O 0.220 0.759 0.007 1
O7 O 0.259 0.271 0.509 1
O8 O 0.265 0.708 0.504 1
O9 O 0.408 0.913 0.818 1
O10 O 0.434 0.429 0.842 1
O11 O 0.437 0.914 0.324 1
O12 O 0.451 0.406 0.339 1
O13 O 0.551 0.593 0.161 1
O14 O 0.563 0.056 0.665 1
O15 O 0.565 0.578 0.660 1
O16 O 0.581 0.065 0.178 1
O17 O 0.749 0.267 0.494 1
O18 O 0.762 0.706 0.492 1
O19 O 0.777 0.241 0.995 1
O20 O 0.784 0.747 0.008 1
O21 O 0.909 0.943 0.340 1
O22 O 0.911 0.410 0.341 1
O23 O 0.922 0.945 0.840 1
O24 O 0.929 0.407 0.841 1



4.
# GGA-PBEsol CuSi2OsN, relaxed
# Final energy (eV per cell): -30.115
# Energy relative to the elements, uncorrected (meV per atom): 1291.0
# Theoretical density (g cm⁻³): 7.77
data_CuSi2OsN
_symmetry_space_group_name_H-M 'P 4/m m m'
_symmetry_Int_Tables_number 123
_symmetry_space_group_name_Hall '-P 4 2'
_cell_length_a 4.617
_cell_length_b 4.617
_cell_length_c 3.248
_cell_angle_alpha 90.00
_cell_angle_beta 90.00
_cell_angle_gamma 90.00
loop_
_atom_site_label
_atom_site_type_symbol
_atom_site_fract_x
_atom_site_fract_y
_atom_site_fract_z
_atom_site_occupancy
Cu1 Cu 0.000 0.000 0.000 1
Si1 Si 0.000 0.500 0.000 1
Os1 Os 0.500 0.500 0.500 1
N1 N 0.000 0.000 0.500 1



5.
# GGA-PBEsol MgNi2Pb, relaxed
# Final energy (eV per cell): -17.677
# Energy of formation (meV per atom): 88.5
# Theoretical density (g cm⁻³): 8.85
data_MgNi2Pb
_symmetry_space_group_name_H-M 'P 4 m m'
_symmetry_Int_Tables_number 99
_cell_length_a 3.119
_cell_length_b 3.119
_cell_length_c 6.726
_cell_angle_alpha 90.00
_cell_angle_beta 90.00
_cell_angle_gamma 90.00
loop_
_symmetry_equiv_pos_as_xyz
'x,y,z'
'-y,x,z'
'-x,-y,z'
'y,-x,z'
'-x,y,z'
'y,x,z'
'x,-y,z'
'-y,-x,z'
loop_
_atom_site_label
_atom_site_type_symbol
_atom_site_fract_x
_atom_site_fract_y
_atom_site_fract_z
_atom_site_occupancy
Mg1 Mg 0.000 0.000 0.000 1
Ni1 Ni 0.000 0.000 0.384 1
Ni2 Ni 0.500 0.500 0.216 1
Pb1 Pb 0.500 0.500 0.630 1



6.
# GGA-PBEsol Be2CoAg, relaxed
# Final energy (eV per cell): -37.417
# Energy of formation (meV per atom): 85.0
# Theoretical density (g cm⁻³): 7.31
data_Be2CoAg
_symmetry_space_group_name_H-M 'C 1 m 1'
_symmetry_Int_Tables_number 8
_cell_length_a 8.412
_cell_length_b 2.633
_cell_length_c 3.984
_cell_angle_alpha 90.00
_cell_angle_beta 107.76
_cell_angle_gamma 90.00
loop_
_symmetry_equiv_pos_as_xyz
'x,y,z'
'x,-y,z'
'x+1/2,y+1/2,z'
'x+1/2,-y+1/2,z'
loop_
_atom_site_label
_atom_site_type_symbol
_atom_site_fract_x
_atom_site_fract_y
_atom_site_fract_z
_atom_site_occupancy
Be1 Be 0.000 0.000 0.000 1
Be2 Be 0.234 0.500 0.319 1
Co1 Co 0.261 0.000 0.859 1
Ag1 Ag 0.486 0.000 0.496 1